(1)
An optimized crystal structure of KCaP2. Source: Alexandria via LeMat-Bulk, functional PBE.

a = 3.2214 Å, b = 3.2214 Å, c = 8.8278 Å
α = 90.00°, β = 90.00°, γ = 90.00°
Space group P4/mmm (No. 123)
Symmetry-distinct sites (fractional):
K  0.0000  0.0000  0.0000
Ca  0.0000  0.0000  0.5000
P  0.5000  0.5000  0.2743

Calculated values
- density (Mg/m³) = 2.56
- energy of formation from the pure elements (meV per atom) = -341



(2)
An optimized crystal structure of K2CaP. Source: Alexandria via LeMat-Bulk, functional PBE.

a = 4.5630 Å, b = 5.0375 Å, c = 6.1714 Å
α = 90.00°, β = 90.00°, γ = 90.00°
Space group Pmmm (No. 47)
Symmetry-distinct sites (fractional):
K  0.0000  0.0000  0.2229
Ca  0.5000  0.5000  0.5000
P  0.5000  0.5000  0.0000

Calculated values
- density (Mg/m³) = 1.75
- energy of formation from the pure elements (meV per atom) = 89



(3)
An optimized crystal structure of K2CaP. Source: Alexandria via LeMat-Bulk, functional PBE.

a = 4.2331 Å, b = 3.9918 Å, c = 10.1506 Å
α = 90.00°, β = 102.01°, γ = 90.00°
Space group Pm (No. 6)
Symmetry-distinct sites (fractional):
K  0.0000  0.0000  0.0000
K  0.3054  0.5000  0.6060
Ca  0.6533  0.5000  0.3026
P  0.1664  0.0000  0.3289

Calculated values
- density (Mg/m³) = 1.48
- energy of formation from the pure elements (meV per atom) = -418



(4)
An optimized crystal structure of KCaP2. Source: Alexandria via LeMat-Bulk, functional PBE.

a = 4.7816 Å, b = 5.0642 Å, c = 8.8806 Å
α = 90.00°, β = 90.00°, γ = 90.00°
Space group Cmm2 (No. 35)
Symmetry-distinct sites (fractional):
K  0.0000  0.0000  0.0000
Ca  0.0000  0.5000  0.4178
P  0.0000  0.0000  0.6477
P  0.0000  0.5000  0.7234

Calculated values
- density (Mg/m³) = 2.18
- energy of formation from the pure elements (meV per atom) = -150



(5)
An optimized crystal structure of KCaP2. Source: Alexandria via LeMat-Bulk, functional PBE.

a = 3.7722 Å, b = 4.0270 Å, c = 6.7927 Å
α = 90.00°, β = 90.28°, γ = 90.00°
Space group P2/m (No. 10)
Symmetry-distinct sites (fractional):
K  0.0000  0.0000  0.0000
Ca  0.0000  0.0000  0.5000
P  0.4987  0.5000  0.3387

Calculated values
- density (Mg/m³) = 2.27
- energy of formation from the pure elements (meV per atom) = -688



(6)
An optimized crystal structure of K2CaP. Source: Alexandria via LeMat-Bulk, functional PBE.

a = 4.7820 Å, b = 4.7820 Å, c = 27.4868 Å
α = 90.00°, β = 90.00°, γ = 120.00°
Space group R3m (No. 160, hexagonal axes)
Symmetry-distinct sites (fractional):
K  0.0000  0.0000  0.0000
K  0.0000  0.0000  0.1852
Ca  0.0000  0.0000  0.7602
P  0.0000  0.0000  0.4370

Calculated values
- density (Mg/m³) = 1.37
- energy of formation from the pure elements (meV per atom) = -425



(7)
An optimized crystal structure of K2CaP. Source: Alexandria via LeMat-Bulk, functional PBE.

a = 3.7669 Å, b = 3.7669 Å, c = 11.3228 Å
α = 90.00°, β = 90.00°, γ = 90.00°
Space group P4/mmm (No. 123)
Symmetry-distinct sites (fractional):
K  0.0000  0.0000  0.1667
Ca  0.5000  0.5000  0.5000
P  0.5000  0.5000  0.0000

Calculated values
- density (Mg/m³) = 1.54
- energy of formation from the pure elements (meV per atom) = 150



(8)
An optimized crystal structure of KCaP. Source: Alexandria via LeMat-Bulk, functional PBE.

a = 4.0234 Å, b = 4.0234 Å, c = 12.2205 Å
α = 90.00°, β = 90.00°, γ = 90.00°
Space group I4mm (No. 107)
Symmetry-distinct sites (fractional):
K  0.0000  0.0000  0.0000
Ca  0.0000  0.0000  0.2588
P  0.0000  0.0000  0.7258

Calculated values
- density (Mg/m³) = 1.85
- energy of formation from the pure elements (meV per atom) = -501



(9)
An optimized crystal structure of K2CaP. Source: Alexandria via LeMat-Bulk, functional PBE.

a = 5.4863 Å, b = 15.4731 Å, c = 5.0628 Å
α = 90.00°, β = 90.00°, γ = 90.00°
Space group Cmmm (No. 65)
Symmetry-distinct sites (fractional):
K  0.0000  0.1290  0.0000
Ca  0.0000  0.5000  0.5000
P  0.0000  0.0000  0.5000

Calculated values
- density (Mg/m³) = 1.15
- energy of formation from the pure elements (meV per atom) = -265



(10)
An optimized crystal structure of KCaP2. Source: Alexandria via LeMat-Bulk, functional PBE.

a = 7.1814 Å, b = 7.1814 Å, c = 7.1814 Å
α = 90.00°, β = 90.00°, γ = 90.00°
Space group F-43m (No. 216)
Symmetry-distinct sites (fractional):
K  0.0000  0.0000  0.0000
Ca  0.2500  0.2500  0.7500
P  0.0000  0.0000  0.5000
P  0.2500  0.2500  0.2500

Calculated values
- density (Mg/m³) = 2.53
- energy of formation from the pure elements (meV per atom) = 133



(11)
An optimized crystal structure of KCa3P. Source: Alexandria via LeMat-Bulk, functional PBE.

a = 5.9116 Å, b = 5.9116 Å, c = 5.9116 Å
α = 90.00°, β = 90.00°, γ = 90.00°
Space group Pm-3m (No. 221)
Symmetry-distinct sites (fractional):
K  0.0000  0.0000  0.0000
Ca  0.0000  0.0000  0.5000
P  0.5000  0.5000  0.5000

Calculated values
- density (Mg/m³) = 1.53
- energy of formation from the pure elements (meV per atom) = 1181



(12)
An optimized crystal structure of KCaP2. Source: Alexandria via LeMat-Bulk, functional PBE.

a = 5.0936 Å, b = 5.0936 Å, c = 18.9364 Å
α = 90.00°, β = 90.00°, γ = 90.00°
Space group I-42d (No. 122)
Symmetry-distinct sites (fractional):
K  0.0000  0.0000  0.0000
Ca  0.0000  0.0000  0.5000
P  0.0890  0.2500  0.6250

Calculated values
- density (Mg/m³) = 1.91
- energy of formation from the pure elements (meV per atom) = -210



(13)
An optimized crystal structure of KCaP2. Source: Alexandria via LeMat-Bulk, functional PBE.

a = 4.5784 Å, b = 4.5784 Å, c = 4.3006 Å
α = 90.00°, β = 90.00°, γ = 90.00°
Space group P4/mmm (No. 123)
Symmetry-distinct sites (fractional):
K  0.0000  0.0000  0.0000
Ca  0.5000  0.5000  0.0000
P  0.0000  0.5000  0.5000

Calculated values
- density (Mg/m³) = 2.60
- energy of formation from the pure elements (meV per atom) = -238



(14)
An optimized crystal structure of KCaP2. Source: Alexandria via LeMat-Bulk, functional PBE.

a = 4.0125 Å, b = 4.4751 Å, c = 13.5810 Å
α = 90.00°, β = 90.00°, γ = 90.00°
Space group Imm2 (No. 44)
Symmetry-distinct sites (fractional):
K  0.0000  0.0000  0.0000
Ca  0.0000  0.5000  0.2666
P  0.0000  0.0000  0.3872
P  0.0000  0.5000  0.7938

Calculated values
- density (Mg/m³) = 1.92
- energy of formation from the pure elements (meV per atom) = -489



(15)
An optimized crystal structure of KCaP2. Source: Alexandria via LeMat-Bulk, functional PBE.

a = 4.2022 Å, b = 4.2022 Å, c = 24.5424 Å
α = 90.00°, β = 90.00°, γ = 120.00°
Space group R3m (No. 160, hexagonal axes)
Symmetry-distinct sites (fractional):
K  0.0000  0.0000  0.0000
Ca  0.0000  0.0000  0.8285
P  0.0000  0.0000  0.2282
P  0.0000  0.0000  0.5763

Calculated values
- density (Mg/m³) = 1.87
- energy of formation from the pure elements (meV per atom) = -277



(16)
An optimized crystal structure of KCaP2. Source: Alexandria via LeMat-Bulk, functional PBE.

a = 3.5878 Å, b = 3.5878 Å, c = 27.5693 Å
α = 90.00°, β = 90.00°, γ = 120.00°
Space group R-3m (No. 166, hexagonal axes)
Symmetry-distinct sites (fractional):
K  0.0000  0.0000  0.0000
Ca  0.0000  0.0000  0.5000
P  0.0000  0.0000  0.2422

Calculated values
- density (Mg/m³) = 2.29
- energy of formation from the pure elements (meV per atom) = -122



(17)
An optimized crystal structure of K2CaP. Source: Alexandria via LeMat-Bulk, functional PBE.

a = 6.1928 Å, b = 6.8368 Å, c = 12.4423 Å
α = 90.00°, β = 90.00°, γ = 90.00°
Space group Fmmm (No. 69)
Symmetry-distinct sites (fractional):
K  0.0000  0.2500  0.2500
Ca  0.0000  0.0000  0.0000
P  0.0000  0.0000  0.5000

Calculated values
- density (Mg/m³) = 1.88
- energy of formation from the pure elements (meV per atom) = 37



(18)
An optimized crystal structure of KCaP2. Source: Alexandria via LeMat-Bulk, functional PBE.

a = 4.3200 Å, b = 4.3200 Å, c = 10.2954 Å
α = 90.00°, β = 90.00°, γ = 90.00°
Space group I-4m2 (No. 119)
Symmetry-distinct sites (fractional):
K  0.0000  0.0000  0.0000
Ca  0.0000  0.5000  0.2500
P  0.0000  0.0000  0.5000
P  0.0000  0.5000  0.7500

Calculated values
- density (Mg/m³) = 2.44
- energy of formation from the pure elements (meV per atom) = -37



(19)
An optimized crystal structure of K2CaP. Source: Alexandria via LeMat-Bulk, functional PBE.

a = 7.9611 Å, b = 7.9611 Å, c = 7.9611 Å
α = 90.00°, β = 90.00°, γ = 90.00°
Space group F-43m (No. 216)
Symmetry-distinct sites (fractional):
K  0.0000  0.0000  0.0000
K  0.2500  0.2500  0.2500
Ca  0.2500  0.2500  0.7500
P  0.0000  0.0000  0.5000

Calculated values
- density (Mg/m³) = 1.96
- energy of formation from the pure elements (meV per atom) = 1



(20)
An optimized crystal structure of KCaP2Pt4. Source: Alexandria via LeMat-Bulk, functional PBE.

a = 4.0836 Å, b = 4.0836 Å, c = 10.7021 Å
α = 90.00°, β = 90.00°, γ = 90.00°
Space group P4/mmm (No. 123)
Symmetry-distinct sites (fractional):
K  0.0000  0.0000  0.0000
Ca  0.0000  0.0000  0.5000
P  0.5000  0.5000  0.1878
Pt  0.0000  0.5000  0.2887

Calculated values
- density (Mg/m³) = 8.57
- energy of formation from the pure elements (meV per atom) = -671



no.,E (eV/f.u.)
1,-15.28
2,-9.25
3,-11.28
4,-14.52
5,-16.67
6,-11.31
7,-9.01
8,-10.01
9,-10.67
10,-13.39
11,-6.61
12,-14.76
13,-14.87
14,-15.88
15,-15.03
16,-14.41
17,-9.46
18,-14.07
19,-9.60
20,-43.45